Material: Sc8Pd2Ru
Method: DFT, PBE
State: relaxed

Values from the calculation:
* space-group type: Cm, No. 8
* total moment: 0.0 μB/cell
* ΔE_f: -36 kJ/mol of atoms
* E: -74.43 eV/cell

```
11
Lattice="5.0771 -0.1273 -0.9706 -1.9650 6.5089 -3.2589 -0.0833 -0.5983 7.5155" Properties=species:S:1:pos:R:3 pbc="T T T"
Sc 2.8968 0.3937 1.6057
Sc 2.7762 3.6905 1.9495
Sc 3.4823 4.9742 -2.0577
Sc 4.6097 0.7159 4.3979
Sc 0.2380 2.1300 1.3634
Sc 0.1167 5.4259 1.7062
Sc 2.4554 2.0607 -0.9215
Sc 0.5582 3.7584 4.2342
Pd 1.1276 4.3503 -0.5252
Pd 1.8897 1.4718 3.8386
Ru -0.0009 0.0185 0.0123
```